The following is a PBE calculation of Li4Pr3Cd4 after structural relaxation, from Alexandria.

Results
- Formation energy from the elements: -0.200 eV/atom
- Calculated density: 5.55 g/cm3
- V: 24.50 A^3/atom

Lattice parameters (Å, degrees): 3.365 5.043 16.165 81.05 84.02 89.94
Fractional coordinates of all 11 atoms:
Pr (0.142, 0.642, 0.717)
Li (0.740, 0.740, 0.520)
Cd (0.550, 0.550, 0.901)
Li (0.407, 0.907, 0.186)
Cd (0.313, 0.813, 0.373)
Pr (0.000, 0.000, 0.000)
Li (0.593, 0.093, 0.814)
Cd (0.687, 0.187, 0.627)
Li (0.260, 0.260, 0.480)
Pr (0.858, 0.358, 0.283)
Cd (0.450, 0.450, 0.099)